[1]
The following is a DFT calculation (PBE) of crystalline InTc at its relaxed geometry.

abc: 11.210 3.037 6.637
angles: 90.00 103.33 90.00
Space group Cm (No. 8)
Unique sites:
In: 0.000 0.000 0.000 (multiplicity 2)
In: 0.048 0.000 0.556 (multiplicity 2)
In: 0.314 0.000 0.636 (multiplicity 2)
Tc: 0.178 0.500 0.283 (multiplicity 2)
Tc: 0.229 0.500 0.956 (multiplicity 2)
Tc: 0.376 0.000 0.256 (multiplicity 2)

## Properties
Uncorrected energy   -6.27 eV per atom
E_form   0.283 eV/atom

***

[2]
The following is a DFT calculation (PBE) of crystalline Dy4TmSc8 at its relaxed geometry.

abc: 10.4118 10.4118 12.7232
angles: 90.00 90.00 120.00
Space group R-3m (No. 166, hexagonal axes)
Unique sites:
Dy: 0.0000 0.0000 0.0000 (multiplicity 3)
Dy: 0.0000 0.5000 0.0000 (multiplicity 9)
Tm: 0.0000 0.0000 0.5000 (multiplicity 3)
Sc: 0.0000 0.0000 0.2405 (multiplicity 6)
Sc: 0.0124 0.5062 0.7463 (multiplicity 18)

## Properties
Uncorrected energy   -5.06 eV per atom
E_form   0.593 eV/atom

***

[3]
The following is a DFT calculation (PBE) of crystalline Nd2Y2InGa4 at its relaxed geometry.

abc: 7.178 7.178 9.342
angles: 90.00 90.00 90.00
Space group I4/mmm (No. 139)
Unique sites:
Nd: 0.000 0.000 0.187 (multiplicity 4)
Y: 0.000 0.500 0.250 (multiplicity 4)
In: 0.000 0.000 0.500 (multiplicity 2)
Ga: 0.242 0.242 0.000 (multiplicity 8)

## Properties
Uncorrected energy   -4.29 eV per atom
E_form   -0.148 eV/atom

***

[4]
The following is a DFT calculation (PBE) of crystalline Ce2ScRu2 at its relaxed geometry.

abc: 9.068 8.131 5.822
angles: 90.00 99.28 90.00
Space group P2_1/c (No. 14)
Unique sites:
Ce: 0.091 0.168 0.379 (multiplicity 4)
Ce: 0.267 0.697 0.938 (multiplicity 4)
Sc: 0.397 0.122 0.130 (multiplicity 4)
Ru: 0.135 0.529 0.393 (multiplicity 4)
Ru: 0.375 0.053 0.630 (multiplicity 4)

## Properties
Uncorrected energy   -7.68 eV per atom
E_form   -0.330 eV/atom

***

[5]
The following is a DFT calculation (PBE) of crystalline Cs2LaInI6 at its relaxed geometry.

abc: 13.024 13.024 13.024
angles: 90.00 90.00 90.00
Space group Fm-3m (No. 225)
Unique sites:
Cs: 0.250 0.250 0.250 (multiplicity 8)
La: 0.000 0.000 0.000 (multiplicity 4)
In: 0.000 0.000 0.500 (multiplicity 4)
I: 0.000 0.000 0.242 (multiplicity 24)

## Properties
Uncorrected energy   -3.18 eV per atom
Energy above the most stable polymorph in this dataset   0.033 eV per atom
Formation energy (no corrections)   -1316 meV/atom

***

[6]
The following is a DFT calculation (PBE) of crystalline RuPbI at its relaxed geometry.

abc: 3.928 6.512 6.948
angles: 76.00 85.02 80.43
Space group P1 (No. 1)
Unique sites:
Ru: 0.000 0.000 0.000 (multiplicity 1)
Ru: 0.109 0.607 0.036 (multiplicity 1)
Pb: 0.534 0.752 0.277 (multiplicity 1)
Pb: 0.602 0.817 0.755 (multiplicity 1)
I: 0.443 0.305 0.839 (multiplicity 1)
I: 0.978 0.233 0.300 (multiplicity 1)

## Properties
Uncorrected energy   -4.53 eV per atom
Energy above the most stable polymorph in this dataset   0.109 eV per atom
Formation energy (no corrections)   314 meV/atom

***

[7]
The following is a DFT calculation (PBE) of crystalline Dy4Ho2C at its relaxed geometry.

abc: 4.849 4.849 17.551
angles: 90.00 90.00 90.00
Space group I4/mmm (No. 139)
Unique sites:
Dy: 0.000 0.000 0.135 (multiplicity 4)
Dy: 0.000 0.500 0.000 (multiplicity 4)
Ho: 0.000 0.000 0.329 (multiplicity 4)
C: 0.000 0.000 0.000 (multiplicity 2)

## Properties
Uncorrected energy   -5.11 eV per atom
E_form   0.144 eV/atom

***

[8]
The following is a DFT calculation (PBE) of crystalline Tl2Zn12Au7 at its relaxed geometry.

abc: 11.2127 11.2127 3.5221
angles: 90.00 90.00 120.00
Space group P-6 (No. 174)
Unique sites:
Tl: 0.0000 0.0000 0.0000 (multiplicity 1)
Tl: 0.3333 0.6667 0.5000 (multiplicity 1)
Zn: 0.0440 0.2795 0.5000 (multiplicity 3)
Zn: 0.1328 0.7369 0.0000 (multiplicity 3)
Zn: 0.3972 0.1654 0.0000 (multiplicity 3)
Zn: 0.5181 0.3997 0.5000 (multiplicity 3)
Au: 0.0644 0.4756 0.0000 (multiplicity 3)
Au: 0.2428 0.2062 0.5000 (multiplicity 3)
Au: 0.6667 0.3333 0.0000 (multiplicity 1)

## Properties
Uncorrected energy   -2.17 eV per atom
E_form   -0.123 eV/atom

***

[9]
The following is a DFT calculation (PBE) of crystalline CsZrTa2 at its relaxed geometry.

abc: 4.784 4.784 20.533
angles: 90.00 90.00 90.00
Space group I-42d (No. 122)
Unique sites:
Cs: 0.000 0.000 0.000 (multiplicity 4)
Zr: 0.000 0.000 0.500 (multiplicity 4)
Ta: 0.118 0.750 0.625 (multiplicity 8)

## Properties
Uncorrected energy   -6.42 eV per atom
E_form   1.857 eV/atom
Energy above the most stable polymorph in this dataset   0.174 eV per atom

***

[10]
The following is a DFT calculation (PBE) of crystalline Pm2ErBi at its relaxed geometry.

abc: 3.5649 3.5649 36.8448
angles: 90.00 90.00 120.00
Space group R-3m (No. 166, hexagonal axes)
Unique sites:
Pm: 0.0000 0.0000 0.0878 (multiplicity 6)
Er: 0.0000 0.0000 0.5000 (multiplicity 3)
Bi: 0.0000 0.0000 0.0000 (multiplicity 3)

## Properties
Uncorrected energy   -4.48 eV per atom
E_form   0.005 eV/atom
Energy above the most stable polymorph in this dataset   0.394 eV per atom

***

[11]
The following is a DFT calculation (PBE) of crystalline Er2AlZnIr2 at its relaxed geometry.

abc: 5.678 14.219 5.699
angles: 90.00 90.00 90.00
Space group Ibam (No. 72)
Unique sites:
Er: 0.233 0.173 0.000 (multiplicity 8)
Al: 0.000 0.500 0.250 (multiplicity 4)
Zn: 0.000 0.000 0.250 (multiplicity 4)
Ir: 0.230 0.382 0.000 (multiplicity 8)

## Properties
Uncorrected energy   -6.11 eV per atom
E_form   -0.803 eV/atom

***

[12]
The following is a DFT calculation (PBE) of crystalline Be2GeBr at its relaxed geometry.

abc: 3.616 4.004 12.301
angles: 99.24 98.18 90.00
Space group P1 (No. 1)
Unique sites:
Be: 0.000 0.000 0.000 (multiplicity 1)
Be: 0.000 0.497 0.000 (multiplicity 1)
Be: 0.500 0.749 0.000 (multiplicity 1)
Be: 0.737 0.007 0.505 (multiplicity 1)
Ge: 0.444 0.192 0.885 (multiplicity 1)
Ge: 0.556 0.306 0.115 (multiplicity 1)
Br: 0.185 0.953 0.398 (multiplicity 1)
Br: 0.785 0.555 0.604 (multiplicity 1)

## Properties
Uncorrected energy   -3.54 eV per atom
Energy above the most stable polymorph in this dataset   0.027 eV per atom
Formation energy (no corrections)   -103 meV/atom

***

[13]
The following is a DFT calculation (PBE) of crystalline ZrTaTl2V at its relaxed geometry.

abc: 5.355 5.355 4.511
angles: 90.00 90.00 90.00
Space group P4/mmm (No. 123)
Unique sites:
Zr: 0.000 0.000 0.000 (multiplicity 1)
Ta: 0.500 0.500 0.500 (multiplicity 1)
Tl: 0.000 0.500 0.500 (multiplicity 2)
V: 0.500 0.500 0.000 (multiplicity 1)

## Properties
Uncorrected energy   -5.67 eV per atom
E_form   1.185 eV/atom

***

[14]
The following is a DFT calculation (PBE) of crystalline Ac2PrMoN5 at its relaxed geometry.

abc: 7.082 7.082 12.033
angles: 90.00 90.00 90.00
Space group I4/mcm (No. 140)
Unique sites:
Ac: 0.177 0.323 0.000 (multiplicity 8)
Pr: 0.000 0.000 0.250 (multiplicity 4)
Mo: 0.000 0.500 0.250 (multiplicity 4)
N: 0.000 0.000 0.000 (multiplicity 4)
N: 0.149 0.351 0.344 (multiplicity 16)

## Properties
Uncorrected energy   -8.28 eV per atom
Formation energy (no corrections)   -1010 meV/atom

***

[15]
The following is a DFT calculation (PBE) of crystalline BeInAg2 at its relaxed geometry.

abc: 3.226 3.226 6.564
angles: 90.00 90.00 90.00
Space group P4mm (No. 99)
Unique sites:
Be: 0.000 0.000 0.000 (multiplicity 1)
In: 0.500 0.500 0.291 (multiplicity 1)
Ag: 0.000 0.000 0.581 (multiplicity 1)
Ag: 0.500 0.500 0.858 (multiplicity 1)

## Properties
Uncorrected energy   -2.85 eV per atom
E_form   0.190 eV/atom
Energy above the most stable polymorph in this dataset   0.051 eV per atom

***

[16]
The following is a DFT calculation (PBE) of crystalline HoPd3O6 at its relaxed geometry.

abc: 7.109 10.113 3.459
angles: 90.00 90.00 90.00
Space group Cmmm (No. 65)
Unique sites:
Ho: 0.000 0.000 0.000 (multiplicity 2)
Pd: 0.000 0.500 0.000 (multiplicity 2)
Pd: 0.250 0.250 0.500 (multiplicity 4)
O: 0.000 0.150 0.500 (multiplicity 4)
O: 0.211 0.371 0.000 (multiplicity 8)

## Properties
Uncorrected energy   -6.20 eV per atom
Formation energy (no corrections)   -1214 meV/atom

***

[17]
The following is a DFT calculation (PBE) of crystalline Ba6IrBr3N2 at its relaxed geometry.

abc: 7.480 12.960 8.362
angles: 90.00 107.42 90.00
Space group C2/m (No. 12)
Unique sites:
Ba: 0.209 0.000 0.190 (multiplicity 4)
Ba: 0.241 0.323 0.190 (multiplicity 8)
Ir: 0.000 0.500 0.000 (multiplicity 2)
Br: 0.000 0.000 0.500 (multiplicity 2)
Br: 0.000 0.336 0.500 (multiplicity 4)
N: 0.000 0.167 0.000 (multiplicity 4)

## Properties
Uncorrected energy   -4.60 eV per atom
Formation energy (no corrections)   -1090 meV/atom

***

[18]
The following is a DFT calculation (PBE) of crystalline K3ScSi at its relaxed geometry.

abc: 6.574 6.574 6.574
angles: 90.00 90.00 90.00
Space group Pm-3m (No. 221)
Unique sites:
K: 0.000 0.000 0.500 (multiplicity 3)
Sc: 0.000 0.000 0.000 (multiplicity 1)
Si: 0.500 0.500 0.500 (multiplicity 1)

## Properties
Uncorrected energy   -1.66 eV per atom
Formation energy (no corrections)   1348 meV/atom

***

[19]
The following is a DFT calculation (PBE) of crystalline AgPd4Rh at its relaxed geometry.

abc: 5.628 7.925 16.714
angles: 90.00 90.00 90.00
Space group Fddd (No. 70, origin choice 2)
Unique sites:
Ag: 0.125 0.125 0.125 (multiplicity 8)
Pd: 0.125 0.125 0.295 (multiplicity 16)
Pd: 0.125 0.125 0.461 (multiplicity 16)
Rh: 0.125 0.125 0.625 (multiplicity 8)

## Properties
Uncorrected energy   -5.09 eV per atom
E_form   0.073 eV/atom

***

[20]
The following is a DFT calculation (PBE) of crystalline YCuIr2 at its relaxed geometry.

abc: 4.114 4.114 18.091
angles: 90.00 90.00 90.00
Space group I-42d (No. 122)
Unique sites:
Y: 0.000 0.000 0.000 (multiplicity 4)
Cu: 0.000 0.000 0.500 (multiplicity 4)
Ir: 0.167 0.250 0.625 (multiplicity 8)

## Properties
Uncorrected energy   -7.07 eV per atom
E_form   0.002 eV/atom
Energy above the most stable polymorph in this dataset   0.292 eV per atom